# ZnCuTc2O8

A relaxed ZnCuTc2O8 crystal (PBE-GGA, the Alexandria database).

The structure in CIF format:
```
data_ZnCuTc2O8
_cell_length_a 6.150
_cell_length_b 6.150
_cell_length_c 8.589
_cell_angle_alpha 90.00
_cell_angle_beta 90.00
_cell_angle_gamma 90.00
_symmetry_space_group_name_H-M 'I -4 m 2'
_symmetry_Int_Tables_number 119
_symmetry_space_group_name_Hall 'I -4 -2'
loop_
_atom_site_label
_atom_site_type_symbol
_atom_site_fract_x
_atom_site_fract_y
_atom_site_fract_z
Zn1 Zn 0.000 0.000 0.000
Cu1 Cu 0.000 0.500 0.250
Tc1 Tc 0.000 0.000 0.500
Tc2 Tc 0.000 0.500 0.750
O1 O 0.000 0.234 0.382
O2 O 0.000 0.263 0.870
```

---

# ZrCuTc2O

A relaxed ZrCuTc2O crystal (PBE-GGA, the Alexandria database).

The structure in CIF format:
```
data_ZrCuTc2O
_cell_length_a 5.082
_cell_length_b 5.082
_cell_length_c 3.998
_cell_angle_alpha 90.00
_cell_angle_beta 90.00
_cell_angle_gamma 90.00
_symmetry_space_group_name_H-M 'P 4/m m m'
_symmetry_Int_Tables_number 123
_symmetry_space_group_name_Hall '-P 4 2'
loop_
_atom_site_label
_atom_site_type_symbol
_atom_site_fract_x
_atom_site_fract_y
_atom_site_fract_z
Zr1 Zr 0.000 0.000 0.000
Cu1 Cu 0.500 0.500 0.500
Tc1 Tc 0.000 0.500 0.000
O1 O 0.000 0.000 0.500
```

---

# Cu6TeO8

A relaxed Cu6TeO8 crystal (PBE-GGA, the Alexandria database).

The structure in CIF format:
```
data_Cu6TeO8
_cell_length_a 5.558
_cell_length_b 5.558
_cell_length_c 5.558
_cell_angle_alpha 90.00
_cell_angle_beta 90.00
_cell_angle_gamma 90.00
_symmetry_space_group_name_H-M 'P m -3'
_symmetry_Int_Tables_number 200
_symmetry_space_group_name_Hall '-P 2 2 3'
loop_
_atom_site_label
_atom_site_type_symbol
_atom_site_fract_x
_atom_site_fract_y
_atom_site_fract_z
Cu1 Cu 0.000 0.262 0.500
Te1 Te 0.000 0.000 0.000
O1 O 0.240 0.240 0.240
```

---

# Cu5TeO6

A relaxed Cu5TeO6 crystal (PBE-GGA, the Alexandria database).

The structure in CIF format:
```
data_Cu5TeO6
_cell_length_a 6.160
_cell_length_b 8.719
_cell_length_c 5.796
_cell_angle_alpha 90.00
_cell_angle_beta 116.47
_cell_angle_gamma 90.00
_symmetry_space_group_name_H-M 'C 1 2/m 1'
_symmetry_Int_Tables_number 12
_symmetry_space_group_name_Hall '-C 2y'
loop_
_atom_site_label
_atom_site_type_symbol
_atom_site_fract_x
_atom_site_fract_y
_atom_site_fract_z
Cu1 Cu 0.000 0.000 0.000
Cu2 Cu 0.000 0.336 0.000
Cu3 Cu 0.000 0.344 0.500
Te1 Te 0.000 0.000 0.500
O1 O 0.028 0.171 0.256
O2 O 0.100 0.500 0.287
```

---

# Cu3TeO

A relaxed Cu3TeO crystal (PBE-GGA, the Alexandria database).

Values from the calculation:
Energy relative to the lowest polymorph listed for this composition = 0.0000 eV per atom

The structure in CIF format:
```
data_Cu3TeO
_cell_length_a 4.165
_cell_length_b 4.165
_cell_length_c 4.165
_cell_angle_alpha 90.00
_cell_angle_beta 90.00
_cell_angle_gamma 90.00
_symmetry_space_group_name_H-M 'P m -3 m'
_symmetry_Int_Tables_number 221
_symmetry_space_group_name_Hall '-P 4 2 3'
loop_
_atom_site_label
_atom_site_type_symbol
_atom_site_fract_x
_atom_site_fract_y
_atom_site_fract_z
Cu1 Cu 0.000 0.000 0.500
Te1 Te 0.500 0.500 0.500
O1 O 0.000 0.000 0.000
```

---

# CuTe2O5

A relaxed CuTe2O5 crystal (PBE-GGA, the Alexandria database).

Values from the calculation:
Energy relative to the lowest polymorph listed for this composition = 0.0811 eV per atom

The structure in CIF format:
```
data_CuTe2O5
_cell_length_a 17.538
_cell_length_b 6.587
_cell_length_c 10.570
_cell_angle_alpha 90.00
_cell_angle_beta 125.25
_cell_angle_gamma 90.00
_symmetry_space_group_name_H-M 'C 1 2/c 1'
_symmetry_Int_Tables_number 15
_symmetry_space_group_name_Hall '-C 2yc'
loop_
_atom_site_label
_atom_site_type_symbol
_atom_site_fract_x
_atom_site_fract_y
_atom_site_fract_z
Cu1 Cu 0.207 0.134 0.301
Te1 Te 0.012 0.233 0.455
Te2 Te 0.150 0.381 0.842
O1 O 0.017 0.360 0.920
O2 O 0.082 0.014 0.117
O3 O 0.115 0.330 0.277
O4 O 0.187 0.346 0.704
O5 O 0.231 0.038 0.973
```

---

| no. | formation energy without anion corrections (kJ/mol of formula units) | M_tot (μB/f.u.) | theoretical density (g/cm3) |
| --- | --- | --- | --- |
| 1 | -1317 | 1.061 | 4.6 |
| 2 | 499 | 5.399 | 5.9 |
| 3 | -804 | 0.000 | 6.2 |
| 4 | -531 | 0.000 | 6.5 |
| 5 | -24 | 0.000 | 7.7 |
| 6 | -623 | 1.026 | 5.3 |